1.
An optimized crystal structure of Ac8GeOs3I3. Source: the Alexandria database, functional PBE-GGA.

a = 9.8031 Å, b = 9.8031 Å, c = 9.8031 Å
α = 54.34°, β = 54.34°, γ = 54.34°
Closest atoms and distances in Å follow each position.
Element x y z (fractional)
1 Ac 0.2097 0.7383 0.7383  2 Os 2.95, 1 Ge 3.14
2 Ac 0.2306 0.2306 0.2306  3 Os 3.04
3 Ac 0.2617 0.2617 0.7903  2 Os 2.95, 1 Ge 3.14
4 Ac 0.2617 0.7903 0.2617  2 Os 2.95, 1 Ge 3.14
5 Ac 0.7383 0.2097 0.7383  2 Os 2.95, 1 Ge 3.14
6 Ac 0.7383 0.7383 0.2097  2 Os 2.95, 1 Ge 3.14
7 Ac 0.7694 0.7694 0.7694  3 Os 3.04
8 Ac 0.7903 0.2617 0.2617  2 Os 2.95, 1 Ge 3.14
9 Ge 0.5000 0.5000 0.5000  6 Ac 3.14
10 Os 0.0000 0.0000 0.5000  6 Ac 2.95-3.04
11 Os 0.0000 0.5000 0.0000  6 Ac 2.95-3.04
12 Os 0.5000 0.0000 0.0000  6 Ac 2.95-3.04
13 I 0.0000 0.5000 0.5000  6 Ac 3.64-3.73
14 I 0.5000 0.0000 0.5000  6 Ac 3.64-3.73
15 I 0.5000 0.5000 0.0000  6 Ac 3.64-3.73

- ΔE_f (raw) (eV per atom) = -0.55
- M_tot (μB/cell) = 0.00
- density of states at the Fermi level (states/eV/cell) = 8.94

=====

2.
An optimized crystal structure of Ac6Ge2OsI3. Source: the Alexandria database, functional PBE-GGA.

a = 7.9664 Å, b = 7.9664 Å, c = 8.6622 Å
α = 98.89°, β = 98.89°, γ = 119.69°
Closest atoms and distances in Å follow each position.
Element x y z (fractional)
1 Ac 0.0638 0.3766 0.1912  1 Os 2.95, 2 Ge 3.17
2 Ac 0.2488 0.2488 0.8043  1 Os 2.99, 2 Ge 3.17
3 Ac 0.3766 0.0638 0.1912  1 Os 2.95, 2 Ge 3.17
4 Ac 0.6234 0.9362 0.8088  1 Os 2.95, 2 Ge 3.17
5 Ac 0.7512 0.7512 0.1957  1 Os 2.99, 2 Ge 3.17
6 Ac 0.9362 0.6234 0.8088  1 Os 2.95, 2 Ge 3.17
7 Ge 0.3343 0.6657 0.0000  6 Ac 3.17
8 Ge 0.6657 0.3343 0.0000  6 Ac 3.17
9 Os 0.0000 0.0000 0.0000  6 Ac 2.95-2.99
10 I 0.1735 0.8265 0.5000  6 Ac 3.64-3.74
11 I 0.5000 0.5000 0.5000  6 Ac 3.62-3.78
12 I 0.8265 0.1735 0.5000  6 Ac 3.64-3.74

- ΔE_f (raw) (eV per atom) = -0.86
- M_tot (μB/cell) = 0.06
- density of states at the Fermi level (states/eV/cell) = 11.86

=====

3.
An optimized crystal structure of Ac8GeOs3I4. Source: the Alexandria database, functional PBE-GGA.

a = 8.9399 Å, b = 8.9399 Å, c = 9.9354 Å
α = 116.68°, β = 116.68°, γ = 60.02°
Closest atoms and distances in Å follow each position.
Element x y z (fractional)
1 Ac 0.2100 0.7362 0.6824  2 Os 2.95-2.96, 1 Ge 3.13
2 Ac 0.2304 0.2304 0.6912  3 Os 3.05
3 Ac 0.2639 0.2639 0.3176  2 Os 2.96, 1 Ge 3.13
4 Ac 0.2638 0.7900 0.3176  2 Os 2.95-2.96, 1 Ge 3.13
5 Ac 0.7362 0.2100 0.6824  2 Os 2.95-2.96, 1 Ge 3.13
6 Ac 0.7361 0.7361 0.6824  2 Os 2.96, 1 Ge 3.13
7 Ac 0.7696 0.7696 0.3088  3 Os 3.05
8 Ac 0.7900 0.2638 0.3176  2 Os 2.95-2.96, 1 Ge 3.13
9 Ge 0.5000 0.5000 0.5000  6 Ac 3.13
10 Os 0.0000 0.0000 0.5000  6 Ac 2.95-3.05
11 Os 0.0000 0.5000 0.5000  6 Ac 2.96-3.05
12 Os 0.5000 0.0000 0.5000  6 Ac 2.96-3.05
13 I 0.0000 0.0000 0.0000  6 Ac 3.64
14 I 0.0000 0.5000 0.0000  6 Ac 3.68-3.78
15 I 0.5000 0.0000 0.0000  6 Ac 3.68-3.78
16 I 0.5000 0.5000 0.0000  6 Ac 3.68-3.78

- ΔE_f (raw) (eV per atom) = -0.70
- M_tot (μB/cell) = 0.00
- density of states at the Fermi level (states/eV/cell) = 9.73